Below is crystalline Sr2VO at its relaxed geometry, with properties calculated at the PBE with a Hubbard U level.

Cell: 7.4330 7.4330 9.3943 Å, 90.00 90.00 90.00°
Space group I-42d (No. 122)
Symmetry-distinct sites (fractional):
Sr 0.1234 0.2500 0.1250 x8
V 0.0000 0.0000 0.5000 x4
O 0.0000 0.0000 0.0000 x4

uncorrected energy: -4.541 eV per atom